Density functional theory data (PBE) for an optimized crystal structure of Dy2CuSi2Rh5.

Final energy: -6.92 eV per atom
Space group: P4/mbm, No. 127
M_tot: 0.00 Bohr magnetons per cell

```
Dy2CuSi2Rh5
1.0
3.415 0.000 0.000
0.000 9.732 0.000
0.000 0.000 9.732
Dy Cu Si Rh
4 2 4 10
Direct
0.000 0.673 0.173 Dy
0.000 0.327 0.827 Dy
0.000 0.173 0.327 Dy
0.000 0.827 0.673 Dy
0.000 0.000 0.000 Cu
0.000 0.500 0.500 Cu
0.000 0.127 0.627 Si
0.000 0.873 0.373 Si
0.000 0.627 0.873 Si
0.000 0.373 0.127 Si
0.500 0.209 0.067 Rh
0.500 0.791 0.933 Rh
0.500 0.067 0.791 Rh
0.500 0.709 0.433 Rh
0.500 0.933 0.209 Rh
0.500 0.291 0.567 Rh
0.500 0.567 0.709 Rh
0.500 0.433 0.291 Rh
0.500 0.500 0.000 Rh
0.500 0.000 0.500 Rh
```

Density functional theory data (PBE) for an optimized crystal structure of Ti5VSn2.

Energy of formation from the pure elements: 210 meV/atom
Space group: Cmcm, No. 63
Polymorph energy (0 for the lowest one): 0.419 eV/atom
M_tot: 0.00 Bohr magnetons per cell

```
Ti5VSn2
1.0
4.601 0.000 0.000
-2.300 6.451 0.000
0.000 0.000 11.316
Ti V Sn
10 2 4
Direct
0.891 0.781 0.873 Ti
0.891 0.781 0.627 Ti
0.305 0.611 0.497 Ti
0.305 0.611 0.003 Ti
0.682 0.363 0.250 Ti
0.318 0.637 0.750 Ti
0.695 0.389 0.503 Ti
0.695 0.389 0.997 Ti
0.109 0.219 0.127 Ti
0.109 0.219 0.373 Ti
0.714 0.428 0.750 V
0.286 0.572 0.250 V
0.890 0.779 0.376 Sn
0.890 0.779 0.124 Sn
0.110 0.221 0.624 Sn
0.110 0.221 0.876 Sn
```

Density functional theory data (PBE) for an optimized crystal structure of ZrTcAsSe2.

Space group: P4/mmm, No. 123
Polymorph energy (0 for the lowest one): 0.000 eV/atom
M_tot: 0.50 Bohr magnetons per cell

```
ZrTcAsSe2
1.0
4.907 0.000 0.000
0.000 4.907 0.000
0.000 0.000 4.677
As Se Tc Zr
1 2 1 1
Direct
0.000 0.000 0.500 As
0.000 0.500 0.000 Se
0.500 0.000 0.000 Se
0.000 0.000 0.000 Tc
0.500 0.500 0.500 Zr
```

Density functional theory data (PBE) for an optimized crystal structure of HoZn6Ga6.

Energy of formation from the pure elements: -107 meV/atom
Space group: Immm, No. 71
M_tot: 0.00 Bohr magnetons per cell

```
HoZn6Ga6
1.0
4.976 0.000 1.989
2.474 6.475 1.030
0.085 -0.117 7.006
Ho Zn Ga
1 6 6
Direct
0.000 0.000 0.000 Ho
0.000 0.500 0.000 Zn
0.500 0.500 0.000 Zn
0.000 0.000 0.500 Zn
0.500 0.000 0.500 Zn
0.500 0.772 0.228 Zn
0.500 0.228 0.772 Zn
0.348 0.652 0.652 Ga
0.652 0.348 0.348 Ga
0.000 0.354 0.646 Ga
0.000 0.646 0.354 Ga
0.317 0.183 0.183 Ga
0.683 0.817 0.817 Ga
```

Density functional theory data (PBE) for an optimized crystal structure of Pr2TlIn2Rh5.

Energy of formation from the pure elements: -357 meV/atom
Space group: P4/mbm, No. 127
M_tot: 0.00 Bohr magnetons per cell

```
Pr2TlIn2Rh5
1.0
-0.220 3.805 -0.182
-2.120 -0.604 -10.041
-10.041 -0.478 2.149
Pr Tl In Rh
4 2 4 10
Direct
0.000 0.673 0.173 Pr
0.000 0.327 0.827 Pr
0.000 0.173 0.327 Pr
0.000 0.827 0.673 Pr
0.000 0.000 0.000 Tl
0.000 0.500 0.500 Tl
0.000 0.125 0.625 In
0.000 0.875 0.375 In
0.000 0.625 0.875 In
0.000 0.375 0.125 In
0.500 0.202 0.062 Rh
0.500 0.798 0.938 Rh
0.500 0.062 0.798 Rh
0.500 0.702 0.438 Rh
0.500 0.938 0.202 Rh
0.500 0.298 0.562 Rh
0.500 0.562 0.702 Rh
0.500 0.438 0.298 Rh
0.500 0.500 0.000 Rh
0.500 0.000 0.500 Rh
```

Density functional theory data (PBE) for an optimized crystal structure of CaHo2Zr.

Energy of formation from the pure elements: 119 meV/atom
Space group: R3m, No. 160
Polymorph energy (0 for the lowest one): 0.017 eV/atom
M_tot: 0.00 Bohr magnetons per cell

```
CaHo2Zr
1.0
3.485 0.000 0.000
1.742 3.018 0.000
1.742 1.006 11.636
Ca Ho Zr
1 2 1
Direct
0.500 0.500 0.499 Ca
0.074 0.074 0.777 Ho
0.259 0.259 0.223 Ho
0.666 0.666 0.001 Zr
```

Density functional theory data (PBE) for an optimized crystal structure of Hf6MnZn5.

Energy of formation from the pure elements: -202 meV/atom
Space group: Immm, No. 71
M_tot: 0.00 Bohr magnetons per cell

```
Hf6MnZn5
1.0
4.462 0.017 -1.301
-0.900 5.784 -3.013
-0.089 0.407 8.001
Zn Mn Hf
5 1 6
Direct
0.673 0.173 0.347 Zn
0.333 0.333 0.667 Zn
0.000 0.500 0.000 Zn
0.667 0.667 0.333 Zn
0.327 0.827 0.653 Zn
0.000 0.000 0.000 Mn
0.839 0.596 0.678 Hf
0.839 0.081 0.678 Hf
0.500 0.761 0.000 Hf
0.500 0.239 0.000 Hf
0.161 0.919 0.322 Hf
0.161 0.404 0.322 Hf
```

Density functional theory data (PBE) for an optimized crystal structure of Zr2AgCl.

Space group: R-3m, No. 166
Polymorph energy (0 for the lowest one): 0.214 eV/atom
M_tot: 0.00 Bohr magnetons per cell

```
Zr2AgCl
1.0
-7.004 -1.632 -6.130
-5.729 -4.525 -6.000
-7.843 -3.628 -3.823
Ag Cl Zr
1 1 2
Direct
0.250 0.250 0.250 Ag
0.750 0.750 0.750 Cl
0.004 0.004 0.004 Zr
0.496 0.496 0.496 Zr
```

Density functional theory data (PBE) for an optimized crystal structure of CeDy4Ir5.

Energy of formation from the pure elements: -775 meV/atom
Space group: P4/mmm, No. 123
M_tot: 0.00 Bohr magnetons per cell

```
CeDy4Ir5
1.0
-0.387 -3.107 -1.338
3.295 -0.040 -0.860
3.981 -7.206 15.576
Ce Dy Ir
1 4 5
Direct
0.000 0.000 0.000 Ce
0.000 0.000 0.202 Dy
0.000 0.000 0.401 Dy
0.000 0.000 0.599 Dy
0.000 0.000 0.798 Dy
0.500 0.500 0.100 Ir
0.500 0.500 0.301 Ir
0.500 0.500 0.500 Ir
0.500 0.500 0.699 Ir
0.500 0.500 0.900 Ir
```

Density functional theory data (PBE) for an optimized crystal structure of KLiRuO3.

Final energy: -5.78 eV per atom
Space group: Cmcm, No. 63
M_tot: 3.92 Bohr magnetons per cell

```
KLiRuO3
1.0
5.718 0.000 0.000
0.000 5.582 0.000
0.000 -2.791 5.151
K Li Ru O
2 2 2 6
Direct
0.750 0.225 0.449 K
0.250 0.775 0.551 K
0.250 0.072 0.144 Li
0.750 0.928 0.856 Li
0.250 0.448 0.896 Ru
0.750 0.552 0.104 Ru
0.250 0.267 0.534 O
0.000 0.261 0.000 O
0.500 0.739 0.000 O
0.500 0.261 0.000 O
0.000 0.739 0.000 O
0.750 0.733 0.466 O
```

Density functional theory data (PBE) for an optimized crystal structure of HfZr2W.

Energy of formation from the pure elements: 640 meV/atom
Space group: I-42d, No. 122
Polymorph energy (0 for the lowest one): 0.453 eV/atom
M_tot: 0.00 Bohr magnetons per cell

```
HfZr2W
1.0
-6.699 -2.920 2.454
0.194 -5.213 -5.676
-1.805 -5.918 0.139
Hf Zr W
2 4 2
Direct
0.500 0.500 0.000 Hf
0.250 0.750 0.500 Hf
0.648 0.125 0.250 Zr
0.102 0.625 0.250 Zr
0.375 0.352 0.750 Zr
0.875 0.898 0.750 Zr
0.000 0.000 0.000 W
0.750 0.250 0.500 W
```

Density functional theory data (PBE) for an optimized crystal structure of Pr4CoHg2.

Energy of formation from the pure elements: -166 meV/atom
Space group: I4/mmm, No. 139
M_tot: 0.00 Bohr magnetons per cell

```
Pr4CoHg2
1.0
5.259 0.000 0.000
0.000 5.259 0.000
2.629 2.629 7.904
Pr Co Hg
4 1 2
Direct
0.821 0.821 0.357 Pr
0.179 0.179 0.643 Pr
0.000 0.500 0.000 Pr
0.500 0.000 0.000 Pr
0.000 0.000 0.000 Co
0.627 0.627 0.745 Hg
0.373 0.373 0.255 Hg
```

Density functional theory data (PBE) for an optimized crystal structure of Rb2CoBrCl6.

Final energy: -3.14 eV per atom
Space group: I4/mmm, No. 139
M_tot: 2.01 Bohr magnetons per cell

```
Rb2CoBrCl6
1.0
7.782 0.000 0.000
0.000 7.782 0.000
3.891 3.891 5.143
Co Br Rb Cl
1 1 2 6
Direct
0.500 0.500 0.000 Co
0.000 0.000 0.000 Br
0.750 0.250 0.500 Rb
0.250 0.750 0.500 Rb
0.237 0.237 0.526 Cl
0.763 0.763 0.474 Cl
0.300 0.300 0.000 Cl
0.700 0.700 0.000 Cl
0.700 0.300 0.000 Cl
0.300 0.700 0.000 Cl
```

Density functional theory data (PBE) for an optimized crystal structure of Tb7Ho16Th6.

Energy of formation from the pure elements: 316 meV/atom
Space group: Fm-3m, No. 225
M_tot: 0.00 Bohr magnetons per cell

```
Tb7Ho16Th6
1.0
9.554 0.000 5.516
3.185 9.008 5.516
0.000 0.000 11.032
Tb Ho Th
7 16 6
Direct
0.000 0.000 0.000 Tb
0.500 0.000 0.500 Tb
0.000 0.500 0.000 Tb
0.000 0.500 0.500 Tb
0.500 0.000 0.000 Tb
0.000 0.000 0.500 Tb
0.500 0.500 0.000 Tb
0.880 0.880 0.361 Ho
0.880 0.880 0.880 Ho
0.880 0.361 0.880 Ho
0.361 0.880 0.880 Ho
0.120 0.120 0.120 Ho
0.120 0.120 0.639 Ho
0.120 0.639 0.120 Ho
0.639 0.120 0.120 Ho
0.658 0.658 0.025 Ho
0.658 0.658 0.658 Ho
0.658 0.025 0.658 Ho
0.025 0.658 0.658 Ho
0.342 0.342 0.342 Ho
0.342 0.342 0.975 Ho
0.342 0.975 0.342 Ho
0.975 0.342 0.342 Ho
0.330 0.670 0.330 Th
0.670 0.330 0.670 Th
0.670 0.330 0.330 Th
0.330 0.670 0.670 Th
0.670 0.670 0.330 Th
0.330 0.330 0.670 Th
```

Density functional theory data (PBE) for an optimized crystal structure of Dy2TmTlC.

Energy of formation from the pure elements: -471 meV/atom
Space group: P4/mmm, No. 123
M_tot: 0.00 Bohr magnetons per cell

```
Dy2TmTlC
1.0
4.840 0.000 0.000
0.000 4.923 0.000
0.000 0.000 4.923
Dy Tm Tl C
2 1 1 1
Direct
0.000 0.000 0.500 Dy
0.000 0.500 0.000 Dy
0.500 0.000 0.000 Tm
0.500 0.500 0.500 Tl
0.000 0.000 0.000 C
```

Density functional theory data (PBE) for an optimized crystal structure of La8SiRh3I4.

Final energy: -5.56 eV per atom
Space group: C2/m, No. 12
M_tot: 0.00 Bohr magnetons per cell

```
La8SiRh3I4
1.0
-1.057 0.193 8.558
-9.434 -1.017 -1.143
5.035 -6.024 -3.588
La Si Rh I
8 1 3 4
Direct
0.235 0.687 0.953 La
0.234 0.687 0.469 La
0.269 0.308 0.538 La
0.718 0.687 0.953 La
0.282 0.313 0.047 La
0.731 0.692 0.462 La
0.766 0.313 0.531 La
0.765 0.313 0.047 La
0.000 0.500 0.000 Si
0.500 0.500 0.000 Rh
0.500 0.500 0.500 Rh
0.000 0.500 0.500 Rh
0.500 0.000 0.000 I
0.500 0.000 0.500 I
0.000 0.000 0.000 I
0.000 0.000 0.500 I
```

Density functional theory data (PBE) for an optimized crystal structure of Tm2Sc3Ni4.

Energy of formation from the pure elements: -452 meV/atom
Space group: P2_1/c, No. 14
M_tot: 0.00 Bohr magnetons per cell

```
Tm2Sc3Ni4
1.0
7.215 0.098 0.000
-2.276 6.615 0.000
0.000 0.000 6.971
Tm Sc Ni
4 6 8
Direct
0.583 0.196 0.325 Tm
0.917 0.804 0.825 Tm
0.417 0.804 0.675 Tm
0.083 0.196 0.175 Tm
0.000 0.500 0.500 Sc
0.500 0.500 0.000 Sc
0.749 0.243 0.831 Sc
0.751 0.757 0.331 Sc
0.251 0.757 0.169 Sc
0.249 0.243 0.669 Sc
0.873 0.086 0.537 Ni
0.627 0.914 0.037 Ni
0.127 0.914 0.463 Ni
0.373 0.086 0.963 Ni
0.880 0.501 0.125 Ni
0.620 0.499 0.625 Ni
0.120 0.499 0.875 Ni
0.380 0.501 0.375 Ni
```

Density functional theory data (PBE) for an optimized crystal structure of GdPuMnAg.

Energy of formation from the pure elements: 105 meV/atom
Space group: F-43m, No. 216
M_tot: 10.06 Bohr magnetons per cell

```
GdPuMnAg
1.0
5.067 0.000 0.000
2.534 4.388 0.000
2.534 1.463 4.137
Mn Gd Ag Pu
1 1 1 1
Direct
0.500 0.500 0.500 Mn
0.250 0.250 0.250 Gd
0.000 0.000 0.000 Ag
0.750 0.750 0.750 Pu
```

Density functional theory data (PBE) for an optimized crystal structure of EuCdAu2.

Energy of formation from the pure elements: -475 meV/atom
Space group: P4/mmm, No. 123
M_tot: 7.05 Bohr magnetons per cell

```
EuCdAu2
1.0
-0.524 -2.182 3.298
4.815 -0.293 0.571
-0.070 4.056 2.672
Eu Au Cd
1 2 1
Direct
0.500 0.000 0.000 Eu
0.000 0.000 0.500 Au
0.000 0.500 0.000 Au
0.500 0.500 0.500 Cd
```

Density functional theory data (PBE) for an optimized crystal structure of CaTlBr2.

Space group: Pm, No. 6
Polymorph energy (0 for the lowest one): 0.233 eV/atom
M_tot: 0.00 Bohr magnetons per cell

```
CaTlBr2
1.0
-1.926 3.593 3.834
1.387 -3.104 3.606
5.228 0.681 1.988
Tl Ca Br
1 1 2
Direct
0.500 0.715 0.693 Tl
0.000 0.341 0.445 Ca
0.000 0.039 0.047 Br
0.500 0.405 0.314 Br
```